Arrangement a

The following is a DFT calculation (PBE) of Sr2MgV after structural relaxation.

Unit cell a=5.771 b=5.771 c=5.771 alpha=60.00 beta=60.00 gamma=60.00
Fractional coordinates of all 4 atoms:
1 Sr 0.250 0.250 0.250
2 Sr 0.750 0.750 0.750
3 Mg 0.000 0.000 0.000
4 V 0.500 0.500 0.500

## Properties
Space group = Fm-3m
V = 136 Å³/cell
Density of states at the Fermi level = 1.1574 states/eV/atom

Arrangement b

The following is a DFT calculation (PBE) of Sr2MgV after structural relaxation.

Unit cell a=7.273 b=7.273 c=7.273 alpha=102.97 beta=102.97 gamma=123.44
Fractional coordinates of all 8 atoms:
1 Sr 0.109 0.625 0.984
2 Sr 0.375 0.359 0.484
3 Sr 0.641 0.125 0.016
4 Sr 0.875 0.891 0.516
5 Mg 0.250 0.750 0.500
6 Mg 0.500 0.500 0.000
7 V 0.000 0.000 0.000
8 V 0.750 0.250 0.500

## Properties
Space group = I-42d
V = 283 Å³/cell
Density of states at the Fermi level = 0.8042 states/eV/atom

Here is how they stack up, most stable first: arrangement a, arrangement b.

Arrangement a

The following is a DFT calculation (PBE) of Sr3MgW after structural relaxation.

Unit cell a=5.896 b=5.896 c=5.896 alpha=90.00 beta=90.00 gamma=90.00
Fractional coordinates of all 5 atoms:
1 Sr 0.000 0.000 0.500
2 Sr 0.000 0.500 0.000
3 Sr 0.500 0.000 0.000
4 Mg 0.500 0.500 0.500
5 W 0.000 0.000 0.000

## Properties
Space group = Pm-3m
V = 205 Å³/cell
Density of states at the Fermi level = 0.6700 states/eV/atom

Arrangement b

The following is a DFT calculation (PBE) of Sr3MgW after structural relaxation.

Unit cell a=6.210 b=6.210 c=6.210 alpha=90.00 beta=90.00 gamma=90.00
Fractional coordinates of all 5 atoms:
1 Sr 0.000 0.000 0.500
2 Sr 0.000 0.500 0.000
3 Sr 0.500 0.000 0.000
4 Mg 0.000 0.000 0.000
5 W 0.500 0.500 0.500

## Properties
Space group = Pm-3m
V = 239 Å³/cell
Density of states at the Fermi level = 0.7417 states/eV/atom

Here is how they stack up, most stable first: arrangement a, arrangement b.